{
  "formula": "Ba2FeSb2",
  "functional": "PBE-GGA",
  "state": "optimized geometry",
  "lattice_angstrom": [[2.383, -8.842, 0.000], [2.383, 8.842, 0.000], [0.000, 0.000, 8.582]],
  "species": ["Ba", "Ba", "Ba", "Ba", "Fe", "Fe", "Sb", "Sb", "Sb", "Sb"],
  "frac_coords": [[0.037, 0.963, 0.500], [0.214, 0.786, 0.812], [0.786, 0.214, 0.312], [0.963, 0.037, 0.000], [0.415, 0.585, 0.622], [0.585, 0.415, 0.122], [0.154, 0.846, 0.186], [0.439, 0.561, 0.298], [0.561, 0.439, 0.798], [0.846, 0.154, 0.686]]
}

---

{
  "formula": "BaSrFeSb2",
  "functional": "PBE-GGA",
  "state": "optimized geometry",
  "lattice_angstrom": [[2.378, -8.976, 0.000], [2.378, 8.976, 0.000], [0.000, 0.000, 7.936]],
  "species": ["Ba", "Ba", "Sr", "Sr", "Fe", "Fe", "Sb", "Sb", "Sb", "Sb"],
  "frac_coords": [[0.209, 0.791, 0.500], [0.791, 0.209, 0.000], [0.024, 0.976, 0.207], [0.976, 0.024, 0.707], [0.415, 0.585, 0.340], [0.585, 0.415, 0.840], [0.153, 0.847, 0.917], [0.441, 0.559, 0.994], [0.559, 0.441, 0.494], [0.847, 0.153, 0.417]]
}

---

{
  "formula": "Ba2FeSe3",
  "functional": "PBE-GGA",
  "state": "optimized geometry",
  "lattice_angstrom": [[12.629, 0.000, 0.000], [0.000, 4.445, 0.000], [0.000, 0.000, 12.932]],
  "species": ["Ba", "Ba", "Ba", "Ba", "Ba", "Ba", "Ba", "Ba", "Fe", "Fe", "Fe", "Fe", "Se", "Se", "Se", "Se", "Se", "Se", "Se", "Se", "Se", "Se", "Se", "Se"],
  "frac_coords": [[0.011, 0.250, 0.177], [0.177, 0.250, 0.520], [0.323, 0.750, 0.020], [0.489, 0.750, 0.677], [0.511, 0.250, 0.323], [0.677, 0.250, 0.980], [0.823, 0.750, 0.480], [0.989, 0.750, 0.823], [0.244, 0.750, 0.303], [0.256, 0.250, 0.803], [0.744, 0.750, 0.197], [0.756, 0.250, 0.697], [0.060, 0.750, 0.362], [0.133, 0.250, 0.946], [0.227, 0.750, 0.712], [0.273, 0.250, 0.212], [0.367, 0.750, 0.446], [0.440, 0.250, 0.862], [0.560, 0.750, 0.138], [0.633, 0.250, 0.554], [0.727, 0.750, 0.788], [0.773, 0.250, 0.288], [0.867, 0.750, 0.054], [0.940, 0.250, 0.638]],
  "polymorph_energy_kj_per_mol_atoms": 0.0
}

---

Values for total energy, eV for the cell shown, ordered as above
-46.057, -45.935, -124.026